# 1
The following is a DFT calculation (PBE) of an optimized crystal structure of Zn3CdAg5.

```
Zn3CdAg5
1.0
-4.9667 2.6735 0.3203
-1.0237 -1.3263 5.3955
6.0187 9.1148 2.5074
Cd Zn Ag
2 6 10
Direct
0.9306 0.9306 0.7316
0.0694 0.0694 0.2684
0.2782 0.2782 0.1061
0.0000 0.0000 0.5000
0.6612 0.6612 0.5139
0.7218 0.7218 0.8939
0.3388 0.3388 0.4861
0.0000 0.0000 0.0000
0.5842 0.9981 0.3516
0.0019 0.4158 0.6484
0.2391 0.2391 0.8643
0.3225 0.6775 0.0000
0.9981 0.5842 0.3516
0.4158 0.0019 0.6484
0.4999 0.4999 0.2863
0.7609 0.7609 0.1357
0.5001 0.5001 0.7137
0.6775 0.3225 0.0000
```

Results
M_tot = 0.00 μB/f.u.
Density = 8.0 Mg/m³
SG = C2/m
ΔH_f (0 K) = 0.162 eV per atom


# 2
The following is a DFT calculation (PBE) of an optimized crystal structure of K2TeAs.

```
K2TeAs
1.0
-4.8092 1.4861 1.0054
-0.8763 -0.6750 -3.1941
-2.4856 -7.1125 -1.3769
K As Te
2 1 1
Direct
0.0000 0.4885 0.5123
0.0000 0.0115 0.9877
0.5000 0.7500 0.7500
0.5000 0.2500 0.2500
```

Results
M_tot = 0.00 μB/f.u.
Density = 3.9 Mg/m³
ΔE_f (raw) = -9.2 kcal/mol of atoms
SG = P2/m


# 3
The following is a DFT calculation (PBE) of an optimized crystal structure of USbPd.

```
USbPd
1.0
-1.3146 -2.8012 3.9304
4.2203 -1.0072 -2.4896
2.9210 3.5574 3.5123
Pd U Sb
2 2 2
Direct
0.3333 0.6667 0.7470
0.6667 0.3333 0.2470
0.0000 0.0000 0.9970
0.0000 0.0000 0.4970
0.3333 0.6667 0.2470
0.6667 0.3333 0.7470
```

Results
M_tot = 2.82 μB/f.u.
Density = 12.3 Mg/m³
ΔE_f (raw) = -11.0 kcal/mol of atoms
SG = P6_3/mmc


# 4
The following is a DFT calculation (PBE) of an optimized crystal structure of TlSi4Pb.

```
TlSi4Pb
1.0
0.0000 3.9420 3.9420
3.9420 0.0000 3.9420
3.9420 3.9420 0.0000
Si Pb Tl
4 1 1
Direct
0.3800 0.8600 0.3800
0.3800 0.3800 0.3800
0.8600 0.3800 0.3800
0.3800 0.3800 0.8600
0.0000 0.0000 0.0000
0.7500 0.7500 0.7500
```

Results
M_tot = 0.00 μB/f.u.
Density = 7.1 Mg/m³
ΔE_f (raw) = 11.8 kcal/mol of atoms
SG = F-43m


# 5
The following is a DFT calculation (PBE) of an optimized crystal structure of InAg3.

```
InAg3
1.0
5.3706 0.0000 0.0000
0.0000 5.8929 0.0000
0.0000 0.0000 9.6590
Ag In
12 4
Direct
0.7467 0.3692 0.5005
0.2533 0.6308 0.4995
0.7533 0.8692 0.0005
0.2533 0.6308 0.0005
0.5752 0.6186 0.7500
0.2467 0.1308 0.5005
0.2467 0.1308 0.9995
0.9248 0.1186 0.2500
0.7467 0.3692 0.9995
0.4248 0.3814 0.2500
0.0752 0.8814 0.7500
0.7533 0.8692 0.4995
0.9265 0.6084 0.2500
0.5735 0.1084 0.7500
0.4265 0.8916 0.2500
0.0735 0.3916 0.7500
```

Results
M_tot = 0.00 μB/f.u.
Density = 9.5 Mg/m³
SG = Pnma
ΔH_f (0 K) = -0.013 eV per atom


# 6
The following is a DFT calculation (PBE) of an optimized crystal structure of Sm4PdPb.

```
Sm4PdPb
1.0
5.9462 -0.3663 0.0000
-1.9535 8.3609 0.0000
-1.9964 -3.9973 7.1622
Pb Sm Pd
2 8 2
Direct
0.3688 0.6188 0.2375
0.6312 0.3812 0.7625
0.6481 0.0752 0.3777
0.2296 0.3025 0.3777
0.9496 0.7953 0.1524
0.7028 0.3571 0.1524
0.3519 0.9248 0.6223
0.2972 0.6429 0.8476
0.0504 0.2047 0.8476
0.7704 0.6975 0.6223
0.2507 0.0007 0.0014
0.7493 0.9993 0.9986
```

Results
M_tot = 0.00 μB/f.u.
Density = 8.7 Mg/m³
SG = C2/c
ΔH_f (0 K) = -0.425 eV per atom